A geometry-optimized Li4HfCoO6 structure. Source: OQMD, functional PBE with a Hubbard U.

Calculated values
Its total energy is -6.464 eV per atom. The value obtained for the mass density is 5455 kg/m3. The calculation puts the energy above the most stable polymorph in this dataset at 0.0 meV per atom.

Cell and atoms, written as CIF:
```
data_Li4HfCoO6
_cell_length_a 5.131
_cell_length_b 8.898
_cell_length_c 5.102
_cell_angle_alpha 90.00
_cell_angle_beta 109.27
_cell_angle_gamma 90.00
_symmetry_space_group_name_H-M 'C 1 2 1'
_symmetry_Int_Tables_number 5
_symmetry_space_group_name_Hall 'C 2y'
loop_
_atom_site_label
_atom_site_fract_x
_atom_site_fract_y
_atom_site_fract_z
Li1 0.000 0.000 0.000
Li2 0.000 0.149 0.500
Li3 0.000 0.518 0.500
Li4 0.000 0.835 0.500
Hf1 0.000 0.335 0.000
Co1 0.000 0.671 0.000
O1 0.232 0.503 0.240
O2 0.238 0.669 0.770
O3 0.242 0.820 0.238
```